# LiTiB (PBE, optimized geometry)
data_LiTiB
_space_group_name_H-M_alt 'P 1'
_space_group_IT_number 1
_space_group_name_Hall 'P 1'
_cell_length_a 3.7958
_cell_length_b 3.7958
_cell_length_c 3.7958
_cell_angle_alpha 60.00
_cell_angle_beta 60.00
_cell_angle_gamma 60.00
loop_
_atom_site_label
_atom_site_fract_x
_atom_site_fract_y
_atom_site_fract_z
_atom_site_occupancy
B1 0.7500 0.7500 0.7500 1
Li1 0.2500 0.2500 0.2500 1
Ti1 0.5000 0.5000 0.5000 1
# Uncorrected energy: -4.821 eV/atom
# Fermi-level density of states: 0.000 states/eV per atom
# Excess energy over the best structure of this formula in the dataset: 1.086 eV per atom
# ΔE_f: 65.0 kJ/mol of atoms

# SmYCo (PBE, optimized geometry)
data_SmYCo
_space_group_name_H-M_alt 'P 1'
_space_group_IT_number 1
_space_group_name_Hall 'P 1'
_cell_length_a 4.7435
_cell_length_b 4.7435
_cell_length_c 4.7435
_cell_angle_alpha 60.00
_cell_angle_beta 60.00
_cell_angle_gamma 60.00
loop_
_atom_site_label
_atom_site_fract_x
_atom_site_fract_y
_atom_site_fract_z
_atom_site_occupancy
Y1 0.0000 0.0000 0.0000 1
Co1 0.2500 0.2500 0.2500 1
Sm1 0.5000 0.5000 0.5000 1
# Uncorrected energy: -6.097 eV/atom
# Fermi-level density of states: 1.086 states/eV per atom
# Excess energy over the best structure of this formula in the dataset: 0.096 eV per atom
# ΔE_f: -0.1 kJ/mol of atoms

# LaBiTe2N (PBE, optimized geometry)
data_LaBiTe2N
_space_group_name_H-M_alt 'P 1'
_space_group_IT_number 1
_space_group_name_Hall 'P 1'
_cell_length_a 6.3390
_cell_length_b 6.3390
_cell_length_c 4.0748
_cell_angle_alpha 90.00
_cell_angle_beta 90.00
_cell_angle_gamma 90.00
loop_
_atom_site_label
_atom_site_fract_x
_atom_site_fract_y
_atom_site_fract_z
_atom_site_occupancy
N1 0.0000 0.0000 0.5000 1
Te1 0.0000 0.5000 0.0000 1
Te2 0.5000 0.0000 0.0000 1
Bi1 0.5000 0.5000 0.5000 1
La1 0.0000 0.0000 0.0000 1
# Uncorrected formation energy: 124 meV/atom
# Uncorrected energy: -4.560 eV/atom
# Fermi-level density of states: 0.677 states/eV per atom
# Excess energy over the best structure of this formula in the dataset: 0.000 eV per atom

Copy entry 1 word for word.
# LiTiB (PBE, optimized geometry)
data_LiTiB
_space_group_name_H-M_alt 'P 1'
_space_group_IT_number 1
_space_group_name_Hall 'P 1'
_cell_length_a 3.7958
_cell_length_b 3.7958
_cell_length_c 3.7958
_cell_angle_alpha 60.00
_cell_angle_beta 60.00
_cell_angle_gamma 60.00
loop_
_atom_site_label
_atom_site_fract_x
_atom_site_fract_y
_atom_site_fract_z
_atom_site_occupancy
B1 0.7500 0.7500 0.7500 1
Li1 0.2500 0.2500 0.2500 1
Ti1 0.5000 0.5000 0.5000 1
# Uncorrected energy: -4.821 eV/atom
# Fermi-level density of states: 0.000 states/eV per atom
# Excess energy over the best structure of this formula in the dataset: 1.086 eV per atom
# ΔE_f: 65.0 kJ/mol of atoms

- excess energy over the best structure of this formula in the dataset of number 2 (SmYCo)?
  0.096 eV per atom

What did the second record say?
# SmYCo (PBE, optimized geometry)
data_SmYCo
_space_group_name_H-M_alt 'P 1'
_space_group_IT_number 1
_space_group_name_Hall 'P 1'
_cell_length_a 4.7435
_cell_length_b 4.7435
_cell_length_c 4.7435
_cell_angle_alpha 60.00
_cell_angle_beta 60.00
_cell_angle_gamma 60.00
loop_
_atom_site_label
_atom_site_fract_x
_atom_site_fract_y
_atom_site_fract_z
_atom_site_occupancy
Y1 0.0000 0.0000 0.0000 1
Co1 0.2500 0.2500 0.2500 1
Sm1 0.5000 0.5000 0.5000 1
# Uncorrected energy: -6.097 eV/atom
# Fermi-level density of states: 1.086 states/eV per atom
# Excess energy over the best structure of this formula in the dataset: 0.096 eV per atom
# ΔE_f: -0.1 kJ/mol of atoms